The following is a PBE calculation of ZnCoH after structural relaxation, from the Alexandria database.

Cell lengths 2.5513, 4.7295, 6.0439 Å; angles 91.96, 102.13, 105.35 degrees
Last column: nearest neighbours and their distance in Å.
Sites, in units of the cell vectors:
Zn  0.1523  0.4953  0.3094  1 H 2.36, 4 Co 2.53-2.57, 4 Zn 2.55-2.59
Zn  0.8477  0.5047  0.6906  1 H 2.36, 4 Co 2.53-2.57, 4 Zn 2.55-2.59
Co  0.3524  0.2280  0.9801  3 H 1.70
Co  0.6476  0.7720  0.0199  3 H 1.70
H  0.3071  0.9570  0.1595  3 Co 1.70
H  0.6929  0.0430  0.8405  3 Co 1.70

- polymorph energy (0 for the lowest one) (eV per atom) = 0.080
- raw total energy (eV/atom) = -3.841
- total moment (μB/f.u.) = 0.81
- DOS at the Fermi energy (states/eV/cell) = 5.28
- SG = P-1 (2)



The following is a PBE calculation of SrH7Ir2 after structural relaxation, from the Alexandria database.

Cell lengths 5.3327, 5.3327, 3.6841 Å; angles 90.00, 90.00, 119.32 degrees
Last column: nearest neighbours and their distance in Å.
Sites, in units of the cell vectors:
Sr  0.0000  0.0000  0.0000  8 H 2.50
H  0.0397  0.3345  0.5000  2 Ir 1.73-1.82
H  0.3187  0.6813  0.0000  2 Ir 1.84
H  0.3345  0.0397  0.5000  2 Ir 1.73-1.82
H  0.5000  0.5000  0.5000  2 Ir 1.73
H  0.6655  0.9603  0.5000  2 Ir 1.73-1.82
H  0.6813  0.3187  0.0000  2 Ir 1.84
H  0.9603  0.6655  0.5000  2 Ir 1.73-1.82
Ir  0.3117  0.6883  0.5000  7 H 1.73-1.84
Ir  0.6883  0.3117  0.5000  7 H 1.73-1.84

- raw total energy (eV/atom) = -4.504
- total moment (μB/f.u.) = 0.00
- DOS at the Fermi energy (states/eV/cell) = 2.37
- SG = Cmmm (65)



The following is a PBE calculation of YBeIn after structural relaxation, from the Alexandria database.

Cell lengths 4.1721, 4.1721, 7.3519 Å; angles 90.00, 90.00, 90.00 degrees
Last column: nearest neighbours and their distance in Å.
Sites, in units of the cell vectors:
Y  0.2500  0.2500  0.1496  5 Be 3.03-3.06, 4 In 3.31
Y  0.7500  0.7500  0.8504  5 Be 3.03-3.06, 4 In 3.31
Be  0.2500  0.2500  0.7379  4 In 2.72, 1 Y 3.03
Be  0.7500  0.7500  0.2621  4 In 2.72, 1 Y 3.03
In  0.2500  0.7500  0.5000  4 Be 2.72, 4 In 2.95
In  0.7500  0.2500  0.5000  4 Be 2.72, 4 In 2.95

- polymorph energy (0 for the lowest one) (eV per atom) = 0.195
- energy relative to the elements (eV per atom) = -0.0726
- raw total energy (eV/atom) = -4.382
- total moment (μB/f.u.) = 0.40
- DOS at the Fermi energy (states/eV/cell) = 3.39
- SG = P4/nmm (129)